VASP calculation (PBE+U) on a relaxed structure of ZnCoO2.

**E**: -5.1138 eV/atom
**Total moment**: 0.50 μB per formula unit

Unit cell a=3.057 b=3.004 c=19.935 alpha=85.68 beta=91.20 gamma=119.43
Atoms (fractional coordinates):
Zn  0.000  0.000  0.000
Zn  0.209  0.481  0.248
Zn  0.503  0.001  0.500
Zn  0.788  0.518  0.752
Co  0.390  0.757  0.876
Co  0.609  0.243  0.124
Co  0.859  0.743  0.374
Co  0.142  0.258  0.626
O  0.857  0.836  0.185
O  0.183  0.373  0.436
O  0.457  0.884  0.689
O  0.635  0.350  0.937
O  0.824  0.630  0.563
O  0.140  0.162  0.815
O  0.366  0.652  0.063
O  0.538  0.113  0.311